1.
First-principles (PBE) data for a relaxed structure of RbNaDy, as listed in OQMD.

Calculated values
SG	F-43m, No. 216
polymorph energy (0 for the lowest one)	0.0	meV per atom
total magnetic moment	0.00	μB/f.u.

Geometry as POSCAR:
```
RbNaDy
1.0
8.518 0.000 0.000
0.000 8.518 0.000
0.000 0.000 8.518
Rb Na Dy
4 4 4
Direct
0.000 0.000 0.000
0.000 0.500 0.500
0.500 0.000 0.500
0.500 0.500 0.000
0.000 0.000 0.500
0.000 0.500 0.000
0.500 0.000 0.000
0.500 0.500 0.500
0.250 0.250 0.750
0.250 0.750 0.250
0.750 0.250 0.250
0.750 0.750 0.750
```

=====

2.
First-principles (PBE) data for a relaxed structure of NaDyRe, as listed in OQMD.

Calculated values
SG	F-43m, No. 216
polymorph energy (0 for the lowest one)	0.0	meV per atom
total magnetic moment	1.48	μB/f.u.

Geometry as POSCAR:
```
NaDyRe
1.0
6.774 0.000 0.000
0.000 6.774 0.000
0.000 0.000 6.774
Na Dy Re
4 4 4
Direct
0.000 0.000 0.000
0.000 0.500 0.500
0.500 0.000 0.500
0.500 0.500 0.000
0.250 0.250 0.250
0.250 0.750 0.750
0.750 0.250 0.750
0.750 0.750 0.250
0.000 0.000 0.500
0.000 0.500 0.000
0.500 0.000 0.000
0.500 0.500 0.500
```

=====

3.
First-principles (PBE) data for a relaxed structure of NaDyRe, as listed in OQMD.

Calculated values
SG	F-43m, No. 216
polymorph energy (0 for the lowest one)	37.4	meV per atom
total magnetic moment	1.41	μB/f.u.

Geometry as POSCAR:
```
NaDyRe
1.0
6.574 0.000 0.000
0.000 6.574 0.000
0.000 0.000 6.574
Na Dy Re
4 4 4
Direct
0.000 0.000 0.000
0.000 0.500 0.500
0.500 0.000 0.500
0.500 0.500 0.000
0.250 0.250 0.750
0.250 0.750 0.250
0.750 0.250 0.250
0.750 0.750 0.750
0.250 0.250 0.250
0.250 0.750 0.750
0.750 0.250 0.750
0.750 0.750 0.250
```

=====

4.
First-principles (PBE) data for a relaxed structure of NaDyZnS3, as listed in OQMD.

Calculated values
SG	Pnma, No. 62
polymorph energy (0 for the lowest one)	69.1	meV per atom
total magnetic moment	0.00	μB/f.u.

Geometry as POSCAR:
```
NaDyZnS3
1.0
7.927 0.000 0.000
0.000 3.979 0.000
0.000 0.000 15.640
Na Dy Zn S
4 4 4 12
Direct
0.071 0.250 0.223
0.429 0.750 0.723
0.571 0.250 0.277
0.929 0.750 0.777
0.240 0.250 0.953
0.260 0.750 0.453
0.740 0.250 0.547
0.760 0.750 0.047
0.131 0.250 0.643
0.369 0.750 0.143
0.631 0.250 0.857
0.869 0.750 0.357
0.002 0.250 0.413
0.127 0.750 0.056
0.192 0.250 0.785
0.308 0.750 0.285
0.373 0.250 0.556
0.498 0.750 0.913
0.502 0.250 0.087
0.627 0.750 0.444
0.692 0.250 0.715
0.808 0.750 0.215
0.873 0.250 0.944
0.998 0.750 0.587
```

=====

5.
First-principles (PBE) data for a relaxed structure of NaDyZnS3, as listed in OQMD.

Calculated values
SG	Pnma, No. 62
polymorph energy (0 for the lowest one)	15.4	meV per atom
total magnetic moment	0.00	μB/f.u.

Geometry as POSCAR:
```
NaDyZnS3
1.0
11.132 0.000 0.000
0.000 3.962 0.000
0.000 0.000 11.449
Na Dy Zn S
4 4 4 12
Direct
0.153 0.250 0.006
0.347 0.750 0.506
0.653 0.250 0.494
0.847 0.750 0.994
0.026 0.250 0.676
0.474 0.750 0.176
0.526 0.250 0.824
0.974 0.750 0.324
0.246 0.250 0.292
0.254 0.750 0.792
0.746 0.250 0.208
0.754 0.750 0.708
0.054 0.750 0.844
0.101 0.250 0.435
0.219 0.750 0.181
0.281 0.250 0.681
0.399 0.750 0.935
0.446 0.250 0.344
0.554 0.750 0.656
0.601 0.250 0.065
0.719 0.750 0.319
0.781 0.250 0.819
0.899 0.750 0.565
0.946 0.250 0.156
```

=====

6.
First-principles (PBE) data for a relaxed structure of NaDyZnS3, as listed in OQMD.

Calculated values
SG	P2_1/m, No. 11
polymorph energy (0 for the lowest one)	2.1	meV per atom
total magnetic moment	0.00	μB/f.u.

Geometry as POSCAR:
```
NaDyZnS3
1.0
7.977 0.000 0.000
0.000 3.933 0.000
-2.646 0.000 9.313
Na Dy Zn S
2 2 2 6
Direct
0.185 0.250 0.174
0.815 0.750 0.826
0.331 0.750 0.850
0.669 0.250 0.150
0.080 0.250 0.603
0.920 0.750 0.397
0.087 0.250 0.846
0.218 0.750 0.545
0.433 0.750 0.144
0.567 0.250 0.856
0.782 0.250 0.455
0.913 0.750 0.154
```

=====

7.
First-principles (PBE) data for a relaxed structure of NaDyZnS3, as listed in OQMD.

Calculated values
SG	Cmcm, No. 63
polymorph energy (0 for the lowest one)	1.4	meV per atom
total magnetic moment	0.01	μB/f.u.

Geometry as POSCAR:
```
NaDyZnS3
1.0
1.955 -6.488 0.000
1.955 6.488 0.000
0.000 0.000 10.576
Na Dy Zn S
2 2 2 6
Direct
0.250 0.750 0.750
0.750 0.250 0.250
0.000 0.000 0.000
0.000 0.000 0.500
0.466 0.534 0.250
0.534 0.466 0.750
0.076 0.924 0.250
0.365 0.635 0.071
0.365 0.635 0.429
0.635 0.365 0.571
0.635 0.365 0.929
0.924 0.076 0.750
```

=====

8.
First-principles (PBE) data for a relaxed structure of NaDyZnS3, as listed in OQMD.

Calculated values
SG	Pnma, No. 62
polymorph energy (0 for the lowest one)	0.0	meV per atom
total magnetic moment	0.00	μB/f.u.

Geometry as POSCAR:
```
NaDyZnS3
1.0
10.582 0.000 0.000
0.000 3.911 0.000
0.000 0.000 12.970
Na Dy Zn S
4 4 4 12
Direct
0.213 0.250 0.000
0.287 0.750 0.500
0.713 0.250 0.500
0.787 0.750 0.000
0.015 0.750 0.262
0.485 0.250 0.762
0.515 0.750 0.238
0.985 0.250 0.738
0.234 0.750 0.783
0.266 0.250 0.283
0.734 0.750 0.717
0.766 0.250 0.217
0.049 0.750 0.877
0.094 0.250 0.392
0.238 0.250 0.674
0.262 0.750 0.174
0.406 0.750 0.892
0.451 0.250 0.377
0.549 0.750 0.623
0.594 0.250 0.108
0.738 0.250 0.826
0.762 0.750 0.326
0.906 0.750 0.608
0.951 0.250 0.123
```

=====

Which formula does entry 6 have?
NaDyZnS3

=====

The highest total magnetic moment belongs to which entry?
number 2

=====

Copy entry 2 word for word.
First-principles (PBE) data for a relaxed structure of NaDyRe, as listed in OQMD.

Calculated values
SG	F-43m, No. 216
polymorph energy (0 for the lowest one)	0.0	meV per atom
total magnetic moment	1.48	μB/f.u.

Geometry as POSCAR:
```
NaDyRe
1.0
6.774 0.000 0.000
0.000 6.774 0.000
0.000 0.000 6.774
Na Dy Re
4 4 4
Direct
0.000 0.000 0.000
0.000 0.500 0.500
0.500 0.000 0.500
0.500 0.500 0.000
0.250 0.250 0.250
0.250 0.750 0.750
0.750 0.250 0.750
0.750 0.750 0.250
0.000 0.000 0.500
0.000 0.500 0.000
0.500 0.000 0.000
0.500 0.500 0.500
```